Entry from Alexandria: an optimized crystal structure of ScIrS2Cl (GGA-PBEsol).

## Properties
* raw formation energy: 0.3321 eV/atom
* SG: P4/mmm (123)
* M_tot: 2.3 μB per formula unit

Lattice parameters (Å, degrees): 4.6170 4.8411 4.8411 90.00 90.00 90.00
With the nearest neighbours (Å) after each atom.
Atoms (fractional coordinates):
Sc  0.0000  0.0000  0.0000  2 Cl 2.31, 4 S 2.42
S  0.0000  0.5000  0.0000  2 Sc 2.42
S  0.0000  0.0000  0.5000  2 Sc 2.42
Ir  0.5000  0.5000  0.5000  8 S 3.34, 4 Cl 3.42
Cl  0.5000  0.0000  0.0000  2 Sc 2.31